Entry 1:
# YSc2Nb

A PBEsol-optimized structure of YSc2Nb (meta-GGA SCAN, Alexandria).

The structure belongs to space group R-3m (No. 166, hexagonal axes); the cell edges are 3.1160, 3.1160 and 32.8792 Å and the angles 90.00°, 90.00° and 120.00°. The distinct sites, in fractional coordinates, are Y at (0.0000, 0.0000, 0.0000), Sc at (0.0000, 0.0000, 0.4176) and Nb at (0.0000, 0.0000, 0.5000).

The value obtained for the total energy is -21.859 eV/atom. The energy of formation from the pure elements comes out at 502.5 meV per atom.


Entry 2:
# NbSe2

A PBEsol-optimized structure of NbSe2 (meta-GGA SCAN, Alexandria).

The structure belongs to space group P6_3/mmc (No. 194); the cell edges are 3.4216, 3.4216 and 24.4483 Å and the angles 90.00°, 90.00° and 120.00°. The distinct sites, in fractional coordinates, are Nb at (0.0000, 0.0000, 0.0000), Nb at (0.0000, 0.0000, 0.2500), Se at (0.3333, 0.6667, 0.0690) and Se at (0.3333, 0.6667, 0.6815).

For the formation energy (no corrections), the calculation gives -890 meV/atom. The value obtained for the total energy is -25.319 eV/atom.


Entry 3:
# NbSe2

A PBEsol-optimized structure of NbSe2 (meta-GGA SCAN, Alexandria).

The structure belongs to space group P-6m2 (No. 187); the cell edges are 3.4218, 3.4218 and 6.9107 Å and the angles 90.00°, 90.00° and 120.00°. The distinct sites, in fractional coordinates, are Nb at (0.0000, 0.0000, 0.0000) and Se at (0.6667, 0.3333, 0.2431).

For the formation energy (no corrections), the calculation gives -918 meV/atom. The value obtained for the total energy is -25.347 eV/atom.


Entry 4:
# NbSe2

A PBEsol-optimized structure of NbSe2 (meta-GGA SCAN, Alexandria).

The structure belongs to space group P-3m1 (No. 164); the cell edges are 3.4205, 3.4205 and 6.1890 Å and the angles 90.00°, 90.00° and 120.00°. The distinct sites, in fractional coordinates, are Nb at (0.0000, 0.0000, 0.0000) and Se at (0.3333, 0.6667, 0.2721).

For the formation energy (no corrections), the calculation gives -867 meV/atom. The value obtained for the total energy is -25.296 eV/atom.


Entry 5:
# NbSe2

A PBEsol-optimized structure of NbSe2 (meta-GGA SCAN, Alexandria).

The structure belongs to space group Amm2 (No. 38); the cell edges are 24.668, 3.419 and 5.921 Å and the angles 90.00°, 90.00° and 90.00°. The distinct sites, in fractional coordinates, are Nb at (0.000, 0.000, 0.000), Nb at (0.248, 0.000, 0.003), Nb at (0.500, 0.000, 0.336), Se at (0.068, 0.000, 0.333), Se at (0.180, 0.000, 0.670), Se at (0.317, 0.000, 0.337) and Se at (0.432, 0.000, 0.670).

For the formation energy (no corrections), the calculation gives -891 meV/atom. The value obtained for the total energy is -25.320 eV/atom.


Entry 6:
# Nb2Se9

A PBEsol-optimized structure of Nb2Se9 (meta-GGA SCAN, Alexandria).

The structure belongs to space group P-1 (No. 2); the cell edges are 8.079, 8.331 and 8.396 Å and the angles 98.54°, 95.12° and 91.76°. The distinct sites, in fractional coordinates, are Nb at (0.082, 0.140, 0.102), Nb at (0.408, 0.405, 0.360), Se at (0.063, 0.596, 0.779), Se at (0.088, 0.841, 0.174), Se at (0.110, 0.286, 0.416), Se at (0.163, 0.031, 0.807), Se at (0.220, 0.433, 0.087), Se at (0.304, 0.679, 0.515), Se at (0.408, 0.103, 0.184), Se at (0.471, 0.299, 0.640) and Se at (0.476, 0.672, 0.922).

For the formation energy (no corrections), the calculation gives -573 meV/atom. The value obtained for the total energy is -23.025 eV/atom.


Entry 7:
# Nb3Se4

A PBEsol-optimized structure of Nb3Se4 (meta-GGA SCAN, Alexandria).

The structure belongs to space group P6_3/m (No. 176); the cell edges are 10.0075, 10.0075 and 3.4333 Å and the angles 90.00°, 90.00° and 120.00°. The distinct sites, in fractional coordinates, are Nb at (0.1095, 0.4877, 0.2500), Se at (0.0621, 0.7210, 0.2500) and Se at (0.3333, 0.6667, 0.7500).

For the formation energy (no corrections), the calculation gives -961 meV/atom. The value obtained for the total energy is -26.633 eV/atom.


Entry 8:
# NbSe2

A PBEsol-optimized structure of NbSe2 (meta-GGA SCAN, Alexandria).

The structure belongs to space group Fmm2 (No. 42); the cell edges are 3.431, 12.660 and 5.910 Å and the angles 90.00°, 90.00° and 90.00°. The distinct sites, in fractional coordinates, are Nb at (0.000, 0.000, 0.000) and Se at (0.000, 0.133, 0.666).

For the formation energy (no corrections), the calculation gives -921 meV/atom. The value obtained for the total energy is -25.350 eV/atom.